The following is a DFT calculation (PBE) of a relaxed structure of Ba2LiCa8.

Lattice parameters (Å, degrees): 5.6680 5.6680 15.4333 90.00 90.00 90.00
With the nearest neighbours (Å) after each atom.
Element x y z (fractional)
1 Ba 0.0000 0.0000 0.1907  12 Ca 4.01-4.09
2 Ba 0.0000 0.0000 0.8093  12 Ca 4.01-4.09
3 Li 0.0000 0.0000 0.5000  8 Ca 3.41
4 Ca 0.0000 0.5000 0.0000  8 Ca 4.01-4.05, 4 Ba 4.09
5 Ca 0.0000 0.5000 0.3771  2 Li 3.41, 1 Ca 3.79
6 Ca 0.0000 0.5000 0.6229  2 Li 3.41, 1 Ca 3.79
7 Ca 0.5000 0.0000 0.0000  8 Ca 4.01-4.05, 4 Ba 4.09
8 Ca 0.5000 0.0000 0.3771  2 Li 3.41, 1 Ca 3.79
9 Ca 0.5000 0.0000 0.6229  2 Li 3.41, 1 Ca 3.79
10 Ca 0.5000 0.5000 0.1873  4 Ba 4.01, 8 Ca 4.05-4.08
11 Ca 0.5000 0.5000 0.8127  4 Ba 4.01, 8 Ca 4.05-4.08

Magnetic moment, μB per cell: 0.00
Calculated formation energy, eV/atom: 0.074
Space group: No. 123

The following is a DFT calculation (PBE) of a relaxed structure of Ba2LiCa2.

Lattice parameters (Å, degrees): 11.5718 11.5718 11.5718 156.03 156.03 34.15
With the nearest neighbours (Å) after each atom.
Element x y z (fractional)
1 Ba 0.0940 0.0940 0.0000  4 Li 3.98, 1 Ba 4.16, 4 Ca 4.21
2 Ba 0.9060 0.9060 0.0000  4 Li 3.98, 1 Ba 4.16, 4 Ca 4.21
3 Li 0.5000 0.5000 0.0000  8 Ba 3.98
4 Ca 0.2500 0.7500 0.5000  4 Ca 3.40
5 Ca 0.7500 0.2500 0.5000  4 Ca 3.40

Magnetic moment, μB per cell: 0.00
Calculated formation energy, eV/atom: 0.219
Space group: No. 139

The following is a DFT calculation (PBE) of a relaxed structure of BaLi10Ca.

Lattice parameters (Å, degrees): 4.6702 6.2522 10.8099 90.00 90.00 90.00
With the nearest neighbours (Å) after each atom.
Element x y z (fractional)
1 Ba 0.0000 0.0000 0.0000  18 Li 3.66-4.06
2 Li 0.0000 0.0000 0.3435  6 Li 2.88-2.96
3 Li 0.0000 0.0000 0.6565  6 Li 2.88-2.96
4 Li 0.0000 0.5000 0.1765  6 Li 2.94-3.02
5 Li 0.0000 0.5000 0.8235  6 Li 2.94-3.02
6 Li 0.5000 0.0000 0.5000  8 Li 2.88-3.00
7 Li 0.5000 0.2604 0.2674  8 Li 2.94-3.26
8 Li 0.5000 0.2604 0.7326  8 Li 2.94-3.26
9 Li 0.5000 0.5000 0.0000  8 Li 3.02-3.26
10 Li 0.5000 0.7396 0.2674  8 Li 2.94-3.26
11 Li 0.5000 0.7396 0.7326  8 Li 2.94-3.26
12 Ca 0.0000 0.5000 0.5000  18 Li 3.50-3.90

Magnetic moment, μB per cell: 0.00
Calculated formation energy, eV/atom: 0.026
Space group: No. 47

The following is a DFT calculation (PBE) of a relaxed structure of Ba2Li2Ca.

Lattice parameters (Å, degrees): 10.3459 10.3459 3.9103 90.00 90.00 90.00
With the nearest neighbours (Å) after each atom.
Element x y z (fractional)
1 Ba 0.1388 0.3612 0.0000  6 Li 3.54-3.66, 2 Ba 3.91
2 Ba 0.3612 0.8612 0.0000  6 Li 3.54-3.66, 2 Ba 3.91
3 Ba 0.6388 0.1388 0.0000  6 Li 3.54-3.66, 2 Ba 3.91
4 Ba 0.8612 0.6388 0.0000  6 Li 3.54-3.66, 2 Ba 3.91
5 Li 0.1594 0.6594 0.5000  6 Ba 3.54-3.66, 2 Li 3.91
6 Li 0.3406 0.1594 0.5000  6 Ba 3.54-3.66, 2 Li 3.91
7 Li 0.6594 0.8406 0.5000  6 Ba 3.54-3.66, 2 Li 3.91
8 Li 0.8406 0.3406 0.5000  6 Ba 3.54-3.66, 2 Li 3.91
9 Ca 0.0000 0.0000 0.0000  2 Ca 3.91, 4 Ba 4.00, 8 Li 4.35
10 Ca 0.5000 0.5000 0.0000  2 Ca 3.91, 4 Ba 4.00, 8 Li 4.35

Magnetic moment, μB per cell: 0.00
Calculated formation energy, eV/atom: 0.157
Space group: No. 127

The following is a DFT calculation (PBE) of a relaxed structure of Ba2Li2Ca.

Lattice parameters (Å, degrees): 12.9535 12.9535 12.9535 161.76 161.76 25.91
With the nearest neighbours (Å) after each atom.
Element x y z (fractional)
1 Ba 0.1252 0.1252 0.0000  4 Li 3.76, 4 Ba 4.11
2 Ba 0.8748 0.8748 0.0000  4 Li 3.76, 4 Ba 4.11
3 Li 0.2500 0.7500 0.5000  4 Li 2.90
4 Li 0.7500 0.2500 0.5000  4 Li 2.90
5 Ca 0.5000 0.5000 0.0000  4 Ca 4.11, 8 Ba 4.29

Magnetic moment, μB per cell: 0.00
Calculated formation energy, eV/atom: 0.095
Space group: No. 139

The following is a DFT calculation (PBE) of a relaxed structure of Ba2Li9Ca.

Lattice parameters (Å, degrees): 6.3215 6.3215 20.2039 90.00 90.00 120.00
With the nearest neighbours (Å) after each atom.
Element x y z (fractional)
1 Ba 0.3333 0.6667 0.0430  12 Li 3.67-4.04, 3 Ba 4.04
2 Ba 0.3333 0.6667 0.4570  12 Li 3.67-4.04, 3 Ba 4.04
3 Ba 0.6667 0.3333 0.5430  12 Li 3.67-4.04, 3 Ba 4.04
4 Ba 0.6667 0.3333 0.9570  12 Li 3.67-4.04, 3 Ba 4.04
5 Li 0.0000 0.0000 0.0000  6 Li 3.28
6 Li 0.0000 0.0000 0.2500  6 Li 2.95
7 Li 0.0000 0.0000 0.5000  6 Li 3.28
8 Li 0.0000 0.0000 0.7500  6 Li 2.95
9 Li 0.1667 0.3334 0.6351  7 Li 2.95-3.28
10 Li 0.1667 0.3334 0.8649  7 Li 2.95-3.28
11 Li 0.1667 0.8333 0.6351  7 Li 2.95-3.28
12 Li 0.1667 0.8333 0.8649  7 Li 2.95-3.28
13 Li 0.3334 0.1667 0.1351  7 Li 2.95-3.28
14 Li 0.3334 0.1667 0.3649  7 Li 2.95-3.28
15 Li 0.3333 0.6667 0.7500  6 Li 2.95
16 Li 0.6667 0.3333 0.2500  6 Li 2.95
17 Li 0.6666 0.8333 0.6351  7 Li 2.95-3.28
18 Li 0.6666 0.8333 0.8649  7 Li 2.95-3.28
19 Li 0.8333 0.1667 0.1351  7 Li 2.95-3.28
20 Li 0.8333 0.1667 0.3649  7 Li 2.95-3.28
21 Li 0.8333 0.6666 0.1351  7 Li 2.95-3.28
22 Li 0.8333 0.6666 0.3649  7 Li 2.95-3.28
23 Ca 0.3333 0.6667 0.2500  18 Li 3.65-3.92
24 Ca 0.6667 0.3333 0.7500  18 Li 3.65-3.92

Magnetic moment, μB per cell: 0.00
Calculated formation energy, eV/atom: 0.028
Space group: No. 194

The following is a DFT calculation (PBE) of a relaxed structure of BaLiCa2.

Lattice parameters (Å, degrees): 6.2218 6.2218 6.2218 119.86 119.86 90.24
With the nearest neighbours (Å) after each atom.
Element x y z (fractional)
1 Ba 0.0000 0.0000 0.0000  4 Ca 3.81, 4 Li 3.81
2 Li 0.2500 0.7500 0.5000  4 Ca 3.81, 4 Ba 3.81
3 Ca 0.5000 0.5000 0.0000  4 Ca 3.81, 4 Li 3.81
4 Ca 0.7500 0.2500 0.5000  4 Ca 3.81, 4 Ba 3.81

Magnetic moment, μB per cell: 0.00
Calculated formation energy, eV/atom: 0.087
Space group: No. 119

The following is a DFT calculation (PBE) of a relaxed structure of Ba2Li2Ca.

Lattice parameters (Å, degrees): 9.3304 9.3304 5.0164 90.00 90.00 90.00
With the nearest neighbours (Å) after each atom.
Element x y z (fractional)
1 Ba 0.1777 0.3223 0.0000  6 Li 3.69-3.76
2 Ba 0.3223 0.8223 0.0000  6 Li 3.69-3.76
3 Ba 0.6777 0.1777 0.0000  6 Li 3.69-3.76
4 Ba 0.8223 0.6777 0.0000  6 Li 3.69-3.76
5 Li 0.1169 0.6169 0.5000  1 Li 3.08
6 Li 0.3831 0.1169 0.5000  1 Li 3.08
7 Li 0.6169 0.8831 0.5000  1 Li 3.08
8 Li 0.8831 0.3831 0.5000  1 Li 3.08
9 Ca 0.0000 0.0000 0.5000  4 Li 3.74
10 Ca 0.5000 0.5000 0.5000  4 Li 3.74

Magnetic moment, μB per cell: 0.00
Calculated formation energy, eV/atom: 0.034
Space group: No. 127

The following is a DFT calculation (PBE) of a relaxed structure of BaLiCa2.

Lattice parameters (Å, degrees): 4.0146 4.0146 12.3172 99.21 99.21 60.11
With the nearest neighbours (Å) after each atom.
Element x y z (fractional)
1 Ba 0.0000 0.0000 0.0000  6 Ba 4.01-4.02, 6 Ca 4.16-4.17
2 Li 0.1665 0.1665 0.4997  6 Ca 3.47-3.48
3 Ca 0.5713 0.5713 0.7138  3 Li 3.48
4 Ca 0.7619 0.7619 0.2858  3 Li 3.47-3.48

Magnetic moment, μB per cell: 0.00
Calculated formation energy, eV/atom: 0.104
Space group: No. 8

The following is a DFT calculation (PBE) of a relaxed structure of BaLiCa3.

Lattice parameters (Å, degrees): 6.4919 6.4919 6.4919 90.00 90.00 90.00
With the nearest neighbours (Å) after each atom.
Element x y z (fractional)
1 Ba 0.0000 0.0000 0.0000  6 Ca 3.25
2 Li 0.5000 0.5000 0.5000  12 Ca 4.59
3 Ca 0.0000 0.0000 0.5000  2 Ba 3.25
4 Ca 0.0000 0.5000 0.0000  2 Ba 3.25
5 Ca 0.5000 0.0000 0.0000  2 Ba 3.25

Magnetic moment, μB per cell: 3.00
Calculated formation energy, eV/atom: 0.879
Space group: No. 221

The following is a DFT calculation (PBE) of a relaxed structure of BaLi6Ca.

Lattice parameters (Å, degrees): 6.0859 6.0859 6.0859 90.00 90.00 90.00
With the nearest neighbours (Å) after each atom.
Element x y z (fractional)
1 Ba 0.0000 0.0000 0.0000  12 Li 3.44
2 Li 0.0000 0.2633 0.5000  2 Li 2.88-3.20
3 Li 0.0000 0.7367 0.5000  2 Li 2.88-3.20
4 Li 0.2633 0.5000 0.0000  2 Li 2.88-3.20
5 Li 0.5000 0.0000 0.2633  2 Li 2.88-3.20
6 Li 0.5000 0.0000 0.7367  2 Li 2.88-3.20
7 Li 0.7367 0.5000 0.0000  2 Li 2.88-3.20
8 Ca 0.5000 0.5000 0.5000  12 Li 3.37

Magnetic moment, μB per cell: 0.00
Calculated formation energy, eV/atom: 0.087
Space group: No. 200

The following is a DFT calculation (PBE) of a relaxed structure of BaLiCa2.

Lattice parameters (Å, degrees): 3.9230 6.2142 7.1213 90.00 100.22 90.00
With the nearest neighbours (Å) after each atom.
Element x y z (fractional)
1 Ba 0.0000 0.0000 0.0000  2 Li 3.75, 2 Ba 3.92, 4 Ca 3.95
2 Li 0.5000 0.0000 0.5000  4 Ca 3.66, 2 Ba 3.75, 2 Li 3.92
3 Ca 0.3148 0.5000 0.7335  2 Li 3.66, 5 Ca 3.77-3.92, 2 Ba 3.95
4 Ca 0.6852 0.5000 0.2665  2 Li 3.66, 5 Ca 3.77-3.92, 2 Ba 3.95

Magnetic moment, μB per cell: 0.00
Calculated formation energy, eV/atom: 0.094
Space group: No. 10

Which value of calculated formation energy does entry 1 give? 0.074 eV/atom